(w)
Cu2H3Rh (PBE, optimized geometry); spin magnetization = 0.00 μB/f.u.
1.0
2.873 -0.031 0.383
-1.644 4.555 1.429
0.311 2.146 8.316
Cu H Rh
4 6 2
Cartesian
-0.815 4.589 5.996
-0.201 3.274 1.508
1.741 3.396 8.620
2.356 2.081 4.132
2.108 1.539 5.790
-0.568 5.131 4.338
1.709 5.263 8.852
0.490 3.781 7.137
1.050 2.889 2.991
-0.169 1.408 1.276
0.947 4.388 3.854
0.594 2.282 6.274

=====

(x)
Cu2H3Rh (PBE, optimized geometry); spin magnetization = 0.00 μB/f.u.
1.0
3.701 0.000 0.000
0.000 5.733 0.016
-1.850 -1.421 4.397
Cu H Rh
4 6 2
Cartesian
1.850 2.870 1.564
1.850 0.004 1.555
0.000 4.309 2.858
0.000 1.442 2.850
1.850 1.433 0.004
1.850 4.300 0.012
0.000 -0.004 1.178
1.850 1.450 3.227
0.000 2.863 1.186
1.850 4.317 3.235
3.701 4.300 0.012
0.000 1.433 0.004

=====

The structure with the least stability is (w).

=====

(w)
CuHRh2 (PBE, optimized geometry); spin magnetization = 0.30 μB/f.u.
1.0
-2.433 0.935 0.910
-2.027 -1.778 0.594
0.688 -0.679 6.729
Cu H Rh
1 1 2
Cartesian
-1.889 -0.761 4.109
-2.972 -0.563 1.007
0.299 -0.608 5.614
-1.096 -0.353 1.621

=====

(x)
CuHRh2 (PBE, optimized geometry); spin magnetization = 0.00 μB/f.u.
1.0
-5.405 2.280 1.128
-2.454 -5.371 -0.902
-3.647 -2.085 2.556
H Rh Cu
2 4 2
Cartesian
-3.929 -1.545 0.113
-5.015 -4.500 0.884
-4.087 0.018 1.125
-3.630 -3.378 0.322
-5.913 -3.228 1.917
-9.380 -3.762 2.200
0.000 0.000 0.000
-6.490 -0.675 1.899

=====

(y)
CuHRh2 (PBE, optimized geometry); spin magnetization = 0.34 μB/f.u.
1.0
0.000 2.855 2.855
2.855 0.000 2.855
2.855 2.855 0.000
H Rh Cu
1 2 1
Cartesian
0.000 0.000 0.000
1.428 1.428 1.428
4.283 4.283 4.283
2.855 2.855 2.855

=====

(z)
CuHRh2 (PBE, optimized geometry); spin magnetization = 0.00 μB/f.u.
1.0
-1.817 -1.674 0.994
1.705 -0.711 1.918
-2.222 4.595 3.680
H Rh Cu
1 2 1
Cartesian
-0.056 -1.193 1.456
-1.779 3.678 2.945
-0.444 0.918 0.735
-1.167 1.105 3.296

=====

The structure with the least stability is (y).

=====

(w)
Cu3H4Rh2 (PBE, optimized geometry); spin magnetization = 0.00 μB/f.u.
1.0
2.796 0.000 0.000
-1.398 4.410 0.048
0.000 -1.842 6.333
Cu H Rh
3 4 2
Cartesian
0.000 2.149 3.903
0.000 0.000 0.000
1.398 0.419 2.478
1.398 1.419 0.685
0.000 -0.796 4.407
1.398 3.364 1.974
0.000 1.149 5.695
0.000 2.449 1.298
1.398 0.119 5.082

=====

(x)
Cu3H4Rh2 (PBE, optimized geometry); spin magnetization = 0.00 μB/f.u.
1.0
2.748 0.000 0.676
1.424 4.430 0.134
-0.263 -0.712 6.995
Cu H Rh
3 4 2
Cartesian
0.000 0.000 0.000
1.159 1.920 1.211
2.750 1.798 6.594
2.044 0.307 3.538
1.865 3.411 4.267
1.627 1.443 5.233
2.282 2.275 2.573
1.627 -0.220 5.235
2.282 3.938 2.570

=====

The structure with the least stability is (x).

=====

(w)
CuH4Rh2 (PBE, optimized geometry); spin magnetization = 0.00 μB/f.u.
1.0
2.806 0.000 0.646
1.328 2.471 0.646
-0.383 -0.229 8.074
Cu H Rh
1 4 2
Cartesian
1.876 1.121 4.683
2.520 1.507 8.297
3.624 2.166 3.508
1.231 0.736 1.069
0.127 0.076 5.859
2.440 1.459 2.232
1.311 0.784 7.134

=====

(x)
CuH4Rh2 (PBE, optimized geometry); spin magnetization = 0.00 μB/f.u.
1.0
-2.020 4.636 -2.196
-5.131 -1.704 1.102
3.763 0.268 4.040
Cu H Rh
2 8 4
Cartesian
-2.448 0.019 2.308
3.738 0.271 4.022
-1.415 3.843 -0.632
-3.078 0.806 0.734
-2.029 3.185 1.684
0.282 3.955 1.184
-0.504 1.750 0.364
1.301 1.730 2.458
-1.009 0.963 2.961
-3.987 2.901 -0.260
-0.363 2.459 2.072
-4.811 1.474 0.603
-2.245 2.324 0.051
0.645 0.141 3.170

=====

The structure with the least stability is (x).

=====

(w)
CuH3Rh (PBE, optimized geometry); spin magnetization = 0.00 μB/f.u.
1.0
3.303 0.000 0.000
0.000 3.303 0.000
0.000 0.000 3.303
H Rh Cu
3 1 1
Cartesian
0.000 1.651 0.000
0.000 0.000 1.651
1.651 0.000 0.000
1.651 1.651 1.651
0.000 0.000 0.000

=====

(x)
CuH3Rh (PBE, optimized geometry); spin magnetization = 0.00 μB/f.u.
1.0
3.400 0.000 0.000
0.000 3.400 0.000
0.000 0.000 3.400
H Rh Cu
3 1 1
Cartesian
0.000 1.700 0.000
0.000 0.000 1.700
1.700 0.000 0.000
0.000 0.000 0.000
1.700 1.700 1.700

=====

The structure with the least stability is (w).

=====

(w)
CuH3Rh (PBE, optimized geometry); spin magnetization = 0.00 μB/f.u.
1.0
-1.280 -0.878 2.339
2.511 -3.050 3.609
3.810 3.086 4.877
Cu H Rh
2 6 2
Cartesian
0.057 -0.261 2.416
5.260 0.457 7.190
1.431 0.251 3.361
0.580 -1.957 3.776
3.657 2.793 5.477
1.953 0.873 5.532
3.856 0.052 6.267
2.010 -1.602 6.348
3.643 1.219 4.903
1.594 -0.984 4.670

=====

(x)
CuH3Rh (PBE, optimized geometry); spin magnetization = 0.00 μB/f.u.
1.0
-1.161 2.904 -3.796
-4.262 -1.921 -0.166
1.547 1.928 3.883
Cu H Rh
2 6 2
Cartesian
-1.925 1.778 -2.913
-3.553 -0.669 -1.101
-3.531 1.043 -2.966
-3.620 1.755 -0.650
-1.378 2.520 -1.398
-0.305 1.290 0.519
-1.940 0.047 -1.028
-2.564 0.518 1.267
0.747 1.024 1.917
-1.964 1.516 -0.064

=====

The structure with the least stability is (x).